GdZnGe | GGA-PBE | optimized geometry

```
GdZnGe
1.0
4.211 0.000 0.000
-2.106 3.647 0.000
0.000 0.000 8.155
Ge Gd Zn
2 2 2
Cartesian
2.106 1.216 2.039 Ge
0.000 2.431 6.116 Ge
0.000 0.000 0.000 Gd
0.000 0.000 4.078 Gd
2.106 1.216 6.116 Zn
0.000 2.431 2.039 Zn
```

## Properties
The theoretical density is 7.83 g/cm3. As for the total energy: -7.30 eV/atom. As for the density of states at the Fermi level: 0.842 states/eV per atom. The calculation puts the energy of formation at -1.92 eV per formula unit.



GdZrGe2 | GGA-PBE | optimized geometry

```
GdZrGe2
1.0
-3.409 1.992 0.047
-3.200 -1.522 -1.742
-3.923 -2.925 5.288
Ge Gd Zr
2 1 1
Cartesian
-7.933 -1.903 2.813 Ge
-2.598 -0.551 0.780 Ge
-5.266 -1.227 1.797 Gd
0.000 0.000 0.000 Zr
```

## Properties
The theoretical density is 7.09 g/cm3. As for the total energy: -8.68 eV/atom. As for the density of states at the Fermi level: 0.587 states/eV per atom. The calculation puts the energy of formation at -2.86 eV per formula unit.



GdH3 | GGA-PBE | optimized geometry

```
GdH3
1.0
-5.573 3.122 0.412
0.945 -4.256 -4.687
-2.409 -4.813 3.884
Gd H
6 18
Cartesian
-2.474 -0.154 1.109 Gd
-0.285 -2.633 -0.604 Gd
-3.675 -1.956 -1.868 Gd
-5.508 -1.536 3.187 Gd
-1.179 -6.436 -0.200 Gd
-3.361 -3.990 1.477 Gd
-0.602 -1.203 0.971 H
-1.807 -3.610 2.913 H
-1.671 -2.683 -2.272 H
-4.161 -0.857 -0.061 H
-5.365 -3.263 1.880 H
-2.876 -5.090 -0.330 H
-1.851 -0.742 -1.007 H
-3.977 1.564 0.531 H
-5.048 -0.183 -2.298 H
-0.471 -4.764 -1.586 H
-3.698 -4.071 -2.728 H
-2.451 -2.423 0.088 H
-5.186 -5.204 0.616 H
-3.060 -7.510 -0.923 H
-1.988 -5.763 1.906 H
-6.565 -1.182 1.195 H
-3.338 -1.876 2.337 H
-4.586 -3.523 -0.479 H
```

## Properties
The theoretical density is 6.78 g/cm3. As for the total energy: -6.64 eV/atom. As for the density of states at the Fermi level: 0.014 states/eV per atom.



GdH3 | GGA-PBE | optimized geometry

```
GdH3
1.0
-0.293 0.589 -3.644
-2.588 -1.968 1.771
-3.434 5.573 1.176
Gd H
2 6
Cartesian
-3.633 3.916 -0.957 Gd
-2.682 0.277 0.260 Gd
-4.933 3.932 1.032 H
-2.451 1.998 -1.362 H
-0.858 1.393 0.294 H
-2.575 4.180 0.882 H
-3.864 2.196 0.665 H
-1.382 0.261 -1.728 H
```

## Properties
The theoretical density is 6.74 g/cm3. As for the total energy: -6.64 eV/atom. As for the density of states at the Fermi level: 0.032 states/eV per atom.